PBE-GGA TaBe2Ru2, optimized geometry; energy relative to the elements = -0.129 eV per atom; calculated density = 10.4 Mg/m³
1.0
6.6702 0.0000 0.0000
0.0000 6.6702 0.0000
0.0000 0.0000 2.8905
Ru Be Ta
4 4 2
Direct
0.3509 0.8509 0.0000
0.6491 0.1491 0.0000
0.1491 0.3509 0.0000
0.8509 0.6491 0.0000
0.3561 0.1439 0.5000
0.1439 0.6439 0.5000
0.6439 0.8561 0.5000
0.8561 0.3561 0.5000
0.0000 0.0000 0.0000
0.5000 0.5000 0.0000